1.
AlHF2 after structural relaxation, computed with GGA-PBE.

Cell lengths 3.563, 3.563, 3.563 Å; angles 60.00, 60.00, 60.00 degrees
Fractional positions:
F: 0.250 0.250 0.250
F: 0.750 0.750 0.750
H: 0.000 0.000 0.000
Al: 0.500 0.500 0.500

Calculated values
As for the density of states at the Fermi level: 0.00 states/eV per cell. Its total DFT energy (no corrections) is -3.815 eV per atom. The value obtained for the excess energy over the best structure of this formula in the dataset is 1175 meV per atom.


2.
AlHF2 after structural relaxation, computed with GGA-PBE.

Cell lengths 5.890, 5.890, 5.890 Å; angles 26.50, 26.50, 26.50 degrees
Fractional positions:
F: 0.889 0.889 0.889
F: 0.111 0.111 0.111
Al: 0.000 0.000 0.000
H: 0.500 0.500 0.500

Calculated values
As for the density of states at the Fermi level: 0.00 states/eV per cell. Its total DFT energy (no corrections) is -3.836 eV per atom. The value obtained for the excess energy over the best structure of this formula in the dataset is 1154 meV per atom.


3.
AlH2F after structural relaxation, computed with GGA-PBE.

Cell lengths 6.441, 6.441, 4.919 Å; angles 49.10, 49.10, 90.00 degrees
Fractional positions:
H: 0.794 0.125 0.250
Al: 0.750 0.250 0.500
H: 0.375 0.206 0.750
F: 0.500 0.500 0.000
Al: 0.000 0.000 0.000
F: 0.250 0.750 0.500
H: 0.956 0.625 0.250
H: 0.875 0.044 0.750

Calculated values
As for the density of states at the Fermi level: 0.00 states/eV per cell. Its total DFT energy (no corrections) is -4.081 eV per atom. The value obtained for the excess energy over the best structure of this formula in the dataset is 137 meV per atom.


Q: Which value of excess energy over the best structure of this formula in the dataset does entry 1 give?
A: 1175 meV per atom